Below is crystalline KCoRh at its relaxed geometry, with properties calculated at the PBE-GGA level.

Cell lengths 4.563, 4.563, 4.563 Å; angles 60.00, 60.00, 60.00 degrees
Positions (direct):
K: 0.000 0.000 0.000
Co: 0.750 0.750 0.750
Rh: 0.250 0.250 0.250

Summary:
The calculation puts the energy above the lowest structure with this stoichiometry at 1499 meV/atom. The formation energy is 2016 meV/atom. The volume is 22.40 Å³ per atom. As for the space group: No. 216. Its total energy is -3.1694 eV per atom.

=====

Below is crystalline Pr6Co2Br3Cl at its relaxed geometry, with properties calculated at the PBE-GGA level.

Cell lengths 9.894, 9.894, 9.241 Å; angles 107.63, 107.63, 23.23 degrees
Positions (direct):
Pr: 0.019 0.019 0.244
Pr: 0.321 0.321 0.460
Pr: 0.332 0.332 0.872
Pr: 0.668 0.668 0.128
Pr: 0.679 0.679 0.540
Pr: 0.981 0.981 0.756
Co: 0.164 0.164 0.325
Co: 0.836 0.836 0.675
Br: 0.161 0.161 0.831
Br: 0.500 0.500 0.500
Br: 0.839 0.839 0.169
Cl: 0.500 0.500 0.000

Summary:
The volume is 28.27 Å³ per atom. As for the space group: No. 12. Its total energy is -5.0412 eV per atom.

=====

> Which formula does entry 1 have?

KCoRh

=====

> What is the formula in the second record?

Pr6Co2Br3Cl

=====

> The lowest volume belongs to which entry?

KCoRh